# Ga7Ag12Au | Alexandria via LeMat-Bulk | PBE | relaxed
data_Ga7Ag12Au
_chemical_formula_sum 'Ga21 Ag36 Au3'
_cell_length_a 11.9632
_cell_length_b 11.9632
_cell_length_c 8.7393
_cell_angle_alpha 90.00
_cell_angle_beta 90.00
_cell_angle_gamma 120.00
_symmetry_space_group_name_H-M 'R -3'
_symmetry_Int_Tables_number 148
_symmetry_space_group_name_Hall '-R 3'
loop_
_atom_site_label
_atom_site_type_symbol
_atom_site_fract_x
_atom_site_fract_y
_atom_site_fract_z
Ga1 Ga 0.0000 0.0000 0.0000
Ga2 Ga 0.0578 0.8154 0.4087
Ag1 Ag 0.0545 0.8370 0.7464
Ag2 Ag 0.0602 0.8180 0.0812
Au1 Au 0.0000 0.0000 0.5000
# volume	18.05	Å³ per atom
# final energy	-2.93	eV/atom